1.
# LiCa3Ce3Te8

A geometry-optimized LiCa3Ce3Te8 structure (PBE, Alexandria).

abc: 8.958 8.958 9.008
angles: 119.82 90.00 120.00
Last column: magnetic moment on the atom in μB.
Fractional coordinates of all 15 atoms:
Te: 0.751 0.503 0.754  -0.01
Te: 0.246 0.492 0.743  -0.02
Te: 0.249 0.003 0.257  -0.02
Te: 0.754 0.508 0.257  -0.02
Te: 0.246 0.997 0.743  -0.02
Te: 0.754 0.003 0.257  -0.02
Te: 0.249 0.497 0.246  -0.01
Te: 0.751 0.997 0.743  -0.02
Ce: 0.500 0.000 0.500  0.93
Ce: 0.000 0.500 0.500  0.93
Ce: 0.500 0.500 0.500  0.93
Ca: 0.000 0.500 0.000  0.00
Ca: 0.500 0.500 0.000  0.00
Ca: 0.000 0.000 0.000  0.00
Li: 0.000 0.000 0.500  0.00

Summary:
Formation energy (no corrections) = -1.37 eV per atom

2.
# LiCaCeTl

A geometry-optimized LiCaCeTl structure (PBE, Alexandria).

abc: 5.451 5.451 5.451
angles: 60.00 60.00 60.00
Last column: magnetic moment on the atom in μB.
Fractional coordinates of all 4 atoms:
Tl: 0.500 0.500 0.500  -0.01
Ce: 0.250 0.250 0.250  0.90
Li: 0.000 0.000 0.000  0.01
Ca: 0.750 0.750 0.750  0.01

Summary:
ΔH_f (0 K) = -129 meV per atom

3.
# Li2CaCeTl4

A geometry-optimized Li2CaCeTl4 structure (PBE, Alexandria).

abc: 5.252 5.252 9.179
angles: 73.38 73.38 60.00
Last column: magnetic moment on the atom in μB.
Fractional coordinates of all 8 atoms:
Tl: 0.376 0.376 0.871  0.01
Tl: 0.875 0.875 0.376  0.00
Tl: 0.624 0.624 0.129  0.01
Tl: 0.125 0.125 0.624  0.00
Ce: 0.000 0.000 0.000  0.81
Li: 0.751 0.751 0.747  0.00
Li: 0.249 0.249 0.253  0.00
Ca: 0.500 0.500 0.500  -0.01

Summary:
ΔH_f (0 K) = -286 meV per atom

| no. | magnetic moment (μB per formula unit) | volume (Å³ per cell) |
| --- | --- | --- |
| 1 | 2.97 | 513 |
| 2 | 1.05 | 115 |
| 3 | 0.95 | 207 |